Computed, not measured: a relaxed BaErAuS3 crystal at the PBE level of DFT.

- calculated total energy (eV/atom) = -5.249
- calculated volume (A^3/atom) = 25.005

Cell: 8.0515 4.0753 9.5697 Å, 90.00 107.14 90.00°
Last column: nearest neighbours and their distance in Å.
Space group P2_1/m (No. 11)
Symmetry-distinct sites (fractional):
1 Ba 0.2364 0.2500 0.2733  6 S 3.16-3.26, 1 Au 3.51
2 Er 0.3147 0.7500 0.8439  6 S 2.69-2.78
3 Au 0.1150 0.2500 0.5962  3 S 2.53-2.57
4 S 0.0848 0.2500 0.8515  1 Au 2.53, 2 Er 2.77
5 S 0.2841 0.7500 0.5478  2 Au 2.57, 1 Er 2.77
6 S 0.4455 0.7500 0.1373  3 Er 2.69-2.78

=====

Computed, not measured: a relaxed TbGd2In3NiGe2 crystal at the PBE level of DFT.

- calculated total energy (eV/atom) = -4.728
- calculated volume (A^3/atom) = 22.175

Cell: 4.2667 12.7261 7.3510 Å, 90.00 90.00 90.00°
Last column: nearest neighbours and their distance in Å.
Space group Amm2 (No. 38)
Symmetry-distinct sites (fractional):
1 Tb 0.0000 0.0000 0.0000  1 Ni 2.95, 4 Ge 3.09
2 Gd 0.0000 0.2014 0.3962  1 Ni 2.96, 4 Ge 3.09
3 In 0.5000 0.0000 0.3584  2 Ni 2.77, 2 Ge 2.86, 2 In 3.05
4 In 0.5000 0.1195 0.7173  2 Ni 2.76, 2 Ge 2.86-2.87, 2 In 3.04-3.05
5 Ni 0.0000 0.0000 0.5982  6 In 2.76-2.77, 1 Tb 2.95, 2 Gd 2.96
6 Ge 0.5000 0.1663 0.0974  3 In 2.86-2.87, 2 Tb 3.09, 4 Gd 3.09

=====

Computed, not measured: a relaxed ErTlAuSe3 crystal at the PBE level of DFT.

- calculated total energy (eV/atom) = -4.293
- calculated volume (A^3/atom) = 25.806

Cell: 3.9758 14.6829 10.6094 Å, 90.00 90.00 90.00°
Last column: nearest neighbours and their distance in Å.
Space group Cmcm (No. 63)
Symmetry-distinct sites (fractional):
1 Er 0.0000 0.0000 0.0000  6 Se 2.86-2.90
2 Tl 0.0000 0.2415 0.2500  8 Se 3.29-3.63, 2 Au 3.61
3 Au 0.0000 0.4638 0.7500  4 Se 2.60-2.62
4 Se 0.0000 0.0800 0.7500  2 Au 2.62, 2 Er 2.90
5 Se 0.0000 0.3642 0.5472  1 Au 2.60, 2 Er 2.86

=====

Computed, not measured: a relaxed Cs2HoErTe4 crystal at the PBE level of DFT.

- calculated total energy (eV/atom) = -4.301
- calculated volume (A^3/atom) = 39.462

Cell: 4.5257 4.5257 17.7979 Å, 90.00 90.00 120.00°
Last column: nearest neighbours and their distance in Å.
Space group P-3m1 (No. 164)
Symmetry-distinct sites (fractional):
1 Cs 0.3333 0.6667 0.2498  6 Te 3.80
2 Ho 0.0000 0.0000 0.5000  6 Te 3.11
3 Er 0.0000 0.0000 0.0000  6 Te 3.11
4 Te 0.3333 0.6667 0.5951  3 Ho 3.11
5 Te 0.3333 0.6667 0.9055  3 Er 3.11

=====

Computed, not measured: a relaxed GdTmInNi2 crystal at the PBE level of DFT.

- calculated total energy (eV/atom) = -5.139
- calculated volume (A^3/atom) = 20.368

Cell: 3.6577 3.9021 14.2702 Å, 90.00 90.00 90.00°
Last column: nearest neighbours and their distance in Å.
Space group Amm2 (No. 38)
Symmetry-distinct sites (fractional):
1 Gd 0.0000 0.0000 0.0000  6 Ni 2.82-2.98
2 Tm 0.0000 0.0000 0.2769  6 Ni 2.80-2.92
3 In 0.5000 0.0000 0.6402  2 Ni 2.78-2.91
4 Ni 0.5000 0.0000 0.4364  2 Ni 2.43
5 Ni 0.5000 0.0000 0.8350  2 Ni 2.43

=====

Computed, not measured: a relaxed BaHgTeO crystal at the PBE level of DFT.

- calculated volume (A^3/atom) = 28.120
- energy above the lowest structure with this stoichiometry (meV per atom) = 94

Cell: 7.5994 7.6504 7.7388 Å, 90.00 90.00 90.00°
Last column: nearest neighbours and their distance in Å.
Space group P2_12_12_1 (No. 19)
Symmetry-distinct sites (fractional):
1 Ba 0.1096 0.1008 0.3924  3 O 2.72-2.74
2 Hg 0.1826 0.3229 0.8020  1 O 2.19
3 Te 0.1353 0.6408 0.6258  3 Hg 2.81-2.88
4 O 0.1478 0.8472 0.1459  1 Hg 2.19

=====

Computed, not measured: a relaxed TbCu3P2 crystal at the PBE level of DFT.

- calculated total energy (eV/atom) = -5.001
- calculated volume (A^3/atom) = 14.998

Cell: 3.9788 3.9788 6.5636 Å, 90.00 90.00 120.00°
Last column: nearest neighbours and their distance in Å.
Space group P-3m1 (No. 164)
Symmetry-distinct sites (fractional):
1 Tb 0.0000 0.0000 0.0000  6 P 2.85, 6 Cu 3.19
2 Cu 0.0000 0.0000 0.5000  6 Cu 2.53, 6 P 2.79
3 Cu 0.3333 0.6667 0.6629  3 P 2.36, 3 Cu 2.53
4 P 0.3333 0.6667 0.2578  3 Cu 2.36

=====

Computed, not measured: a relaxed DyAl2Ga crystal at the PBE level of DFT.

- calculated total energy (eV/atom) = -4.245
- calculated volume (A^3/atom) = 19.532

Cell: 4.5735 10.8417 6.3026 Å, 90.00 90.00 90.00°
Last column: nearest neighbours and their distance in Å.
Space group Ama2 (No. 40)
Symmetry-distinct sites (fractional):
1 Dy 0.2500 0.1649 0.0000  4 Ga 3.04-3.15, 8 Al 3.06-3.16
2 Al 0.2500 0.1453 0.5007  3 Al 2.75-2.78, 3 Ga 2.78, 2 Dy 3.08
3 Al 0.2500 0.4255 0.7825  5 Al 2.75-2.80, 1 Ga 2.77, 2 Dy 3.06
4 Ga 0.2500 0.4234 0.2213  4 Al 2.77-2.78, 2 Ga 2.83, 2 Dy 3.04